# 1
VASP calculation (PBE) on crystalline LiTbEu2 at its relaxed geometry.

The calculation puts the formation energy from the elements at 0.1003 eV per atom. The energy above the most stable polymorph in this dataset comes out at 0 meV/atom. The value obtained for the magnetic moment is 15.458 μB/f.u. For the volume, the calculation gives 34.3 Å³ per atom. Its total energy is -6.673 eV per atom.

Cell lengths 3.818, 3.818, 9.400 Å; angles 90.00, 90.00, 90.00 degrees
Element x y z (fractional)
Eu (0.000, 0.000, 0.772)
Eu (0.000, 0.000, 0.228)
Tb (0.500, 0.500, 0.500)
Li (0.500, 0.500, 0.000)

# 2
VASP calculation (PBE) on crystalline La3Dy8Ho3 at its relaxed geometry.

The calculation puts the formation energy from the elements at 0.1025 eV per atom. The value obtained for the magnetic moment is 0.019 μB/f.u. For the volume, the calculation gives 33.3 Å³ per atom. Its total energy is -4.564 eV per atom.

Cell lengths 5.693, 9.738, 9.738 Å; angles 102.28, 73.01, 73.01 degrees
Element x y z (fractional)
La (0.500, 0.000, 0.000)
La (0.000, 0.816, 0.184)
La (0.000, 0.184, 0.816)
Dy (0.662, 0.119, 0.557)
Dy (0.338, 0.881, 0.443)
Dy (0.662, 0.557, 0.119)
Dy (0.338, 0.443, 0.881)
Dy (0.841, 0.761, 0.557)
Dy (0.159, 0.239, 0.443)
Dy (0.841, 0.557, 0.761)
Dy (0.159, 0.443, 0.239)
Ho (0.500, 0.500, 0.500)
Ho (0.796, 0.204, 0.204)
Ho (0.204, 0.796, 0.796)

# 3
VASP calculation (PBE) on crystalline TmNbC at its relaxed geometry.

The calculation puts the formation energy from the elements at -0.3116 eV per atom. The energy above the most stable polymorph in this dataset comes out at 0 meV/atom. The value obtained for the magnetic moment is 0.000 μB/f.u. For the volume, the calculation gives 17.8 Å³ per atom. Its total energy is -8.233 eV per atom.

Cell lengths 5.659, 5.765, 6.596 Å; angles 90.00, 90.00, 97.71 degrees
Element x y z (fractional)
Nb (0.686, 0.618, 0.137)
Nb (0.314, 0.882, 0.637)
Nb (0.314, 0.382, 0.863)
Nb (0.686, 0.118, 0.363)
Tm (0.234, 0.891, 0.117)
Tm (0.766, 0.609, 0.617)
Tm (0.766, 0.109, 0.883)
Tm (0.234, 0.391, 0.383)
C (0.496, 0.262, 0.125)
C (0.504, 0.238, 0.625)
C (0.504, 0.738, 0.875)
C (0.496, 0.762, 0.375)

# 4
VASP calculation (PBE) on crystalline Li2LaHoCl8 at its relaxed geometry.

The value obtained for the magnetic moment is 0.000 μB/f.u. For the volume, the calculation gives 27.4 Å³ per atom. Its total energy is -4.457 eV per atom. For the energy relative to the elements, uncorrected, the calculation gives -2.1147 eV per atom.

Cell lengths 6.340, 6.314, 8.224 Å; angles 90.07, 90.06, 93.43 degrees
Element x y z (fractional)
Li (0.499, 0.499, 0.765)
Li (0.501, 0.501, 0.235)
La (0.000, 0.000, 0.500)
Ho (0.000, 0.000, 0.000)
Cl (0.194, 0.800, 0.236)
Cl (0.696, 0.701, 0.000)
Cl (0.807, 0.201, 0.236)
Cl (0.806, 0.200, 0.764)
Cl (0.304, 0.299, 0.000)
Cl (0.193, 0.799, 0.764)
Cl (0.682, 0.689, 0.499)
Cl (0.318, 0.311, 0.501)